# MnBeFe2Cl GGA-PBE relaxed
# Mass density in Mg/m³: 4.96
# Total DFT energy (no corrections) in eV per atom: -5.026
# Crystal system: tetragonal
# Space group: P4/mmm (123)
# Uncorrected formation energy in eV/atom: 1.307
data_MnBeFe2Cl
_cell_length_a 4.107
_cell_length_b 4.107
_cell_length_c 4.190
_cell_angle_alpha 90.00
_cell_angle_beta 90.00
_cell_angle_gamma 90.00
_symmetry_space_group_name_H-M 'P 1'
_symmetry_Int_Tables_number 1
_symmetry_space_group_name_Hall 'P 1'
loop_
_atom_site_label
_atom_site_type_symbol
_atom_site_fract_x
_atom_site_fract_y
_atom_site_fract_z
Mn1 Mn 0.000 0.000 0.000
Be1 Be 0.500 0.500 0.500
Fe1 Fe 0.000 0.500 0.500
Fe2 Fe 0.500 0.000 0.500
Cl1 Cl 0.500 0.500 0.000

# BeFeS2Cl GGA-PBE relaxed
# Mass density in Mg/m³: 3.24
# Total DFT energy (no corrections) in eV per atom: -4.143
# Excess energy over the best structure of this formula in the dataset in meV/atom: 0
# Crystal system: tetragonal
# Space group: P4/mmm (123)
# Uncorrected formation energy in eV/atom: 0.315
data_BeFeS2Cl
_cell_length_a 4.346
_cell_length_b 4.346
_cell_length_c 4.461
_cell_angle_alpha 90.00
_cell_angle_beta 90.00
_cell_angle_gamma 90.00
_symmetry_space_group_name_H-M 'P 1'
_symmetry_Int_Tables_number 1
_symmetry_space_group_name_Hall 'P 1'
loop_
_atom_site_label
_atom_site_type_symbol
_atom_site_fract_x
_atom_site_fract_y
_atom_site_fract_z
Be1 Be 0.000 0.000 0.000
Fe1 Fe 0.500 0.500 0.500
S1 S 0.000 0.500 0.000
S2 S 0.500 0.000 0.000
Cl1 Cl 0.000 0.000 0.500

# BeFeS2Cl GGA-PBE relaxed
# Mass density in Mg/m³: 2.90
# Total DFT energy (no corrections) in eV per atom: -3.951
# Excess energy over the best structure of this formula in the dataset in meV/atom: 193
# Crystal system: tetragonal
# Space group: P4/mmm (123)
# Uncorrected formation energy in eV/atom: 0.508
data_BeFeS2Cl
_cell_length_a 4.449
_cell_length_b 4.449
_cell_length_c 4.760
_cell_angle_alpha 90.00
_cell_angle_beta 90.00
_cell_angle_gamma 90.00
_symmetry_space_group_name_H-M 'P 1'
_symmetry_Int_Tables_number 1
_symmetry_space_group_name_Hall 'P 1'
loop_
_atom_site_label
_atom_site_type_symbol
_atom_site_fract_x
_atom_site_fract_y
_atom_site_fract_z
Be1 Be 0.000 0.000 0.000
Fe1 Fe 0.500 0.500 0.500
S1 S 0.000 0.500 0.500
S2 S 0.500 0.000 0.500
Cl1 Cl 0.500 0.500 0.000

# TaBeFe2Cl GGA-PBE relaxed
# Mass density in Mg/m³: 7.77
# Total DFT energy (no corrections) in eV per atom: -5.831
# Crystal system: tetragonal
# Space group: P4/mmm (123)
# Uncorrected formation energy in eV/atom: 1.039
data_TaBeFe2Cl
_cell_length_a 4.246
_cell_length_b 4.246
_cell_length_c 3.997
_cell_angle_alpha 90.00
_cell_angle_beta 90.00
_cell_angle_gamma 90.00
_symmetry_space_group_name_H-M 'P 1'
_symmetry_Int_Tables_number 1
_symmetry_space_group_name_Hall 'P 1'
loop_
_atom_site_label
_atom_site_type_symbol
_atom_site_fract_x
_atom_site_fract_y
_atom_site_fract_z
Ta1 Ta 0.000 0.000 0.000
Be1 Be 0.500 0.500 0.500
Fe1 Fe 0.000 0.500 0.500
Fe2 Fe 0.500 0.000 0.500
Cl1 Cl 0.500 0.500 0.000

# BeFe2TeCl GGA-PBE relaxed
# Mass density in Mg/m³: 4.99
# Total DFT energy (no corrections) in eV per atom: -4.322
# Crystal system: tetragonal
# Space group: P4/mmm (123)
# Uncorrected formation energy in eV/atom: 0.806
data_BeFe2TeCl
_cell_length_a 4.596
_cell_length_b 4.596
_cell_length_c 4.472
_cell_angle_alpha 90.00
_cell_angle_beta 90.00
_cell_angle_gamma 90.00
_symmetry_space_group_name_H-M 'P 1'
_symmetry_Int_Tables_number 1
_symmetry_space_group_name_Hall 'P 1'
loop_
_atom_site_label
_atom_site_type_symbol
_atom_site_fract_x
_atom_site_fract_y
_atom_site_fract_z
Be1 Be 0.000 0.000 0.000
Fe1 Fe 0.000 0.500 0.000
Fe2 Fe 0.500 0.000 0.000
Te1 Te 0.000 0.000 0.500
Cl1 Cl 0.500 0.500 0.500

# BeFe2WCl GGA-PBE relaxed
# Mass density in Mg/m³: 8.38
# Total DFT energy (no corrections) in eV per atom: -5.847
# Crystal system: tetragonal
# Space group: P4/mmm (123)
# Uncorrected formation energy in eV/atom: 1.244
data_BeFe2WCl
_cell_length_a 4.131
_cell_length_b 4.131
_cell_length_c 3.950
_cell_angle_alpha 90.00
_cell_angle_beta 90.00
_cell_angle_gamma 90.00
_symmetry_space_group_name_H-M 'P 1'
_symmetry_Int_Tables_number 1
_symmetry_space_group_name_Hall 'P 1'
loop_
_atom_site_label
_atom_site_type_symbol
_atom_site_fract_x
_atom_site_fract_y
_atom_site_fract_z
Be1 Be 0.000 0.000 0.000
Fe1 Fe 0.000 0.500 0.500
Fe2 Fe 0.500 0.000 0.500
W1 W 0.500 0.500 0.000
Cl1 Cl 0.000 0.000 0.500

# YBe2FeCl GGA-PBE relaxed
# Mass density in Mg/m³: 4.17
# Total DFT energy (no corrections) in eV per atom: -4.014
# Excess energy over the best structure of this formula in the dataset in meV/atom: 0
# Crystal system: tetragonal
# Space group: P4/mmm (123)
# Uncorrected formation energy in eV/atom: 0.831
data_YBe2FeCl
_cell_length_a 4.267
_cell_length_b 4.267
_cell_length_c 4.330
_cell_angle_alpha 90.00
_cell_angle_beta 90.00
_cell_angle_gamma 90.00
_symmetry_space_group_name_H-M 'P 1'
_symmetry_Int_Tables_number 1
_symmetry_space_group_name_Hall 'P 1'
loop_
_atom_site_label
_atom_site_type_symbol
_atom_site_fract_x
_atom_site_fract_y
_atom_site_fract_z
Y1 Y 0.000 0.000 0.000
Be1 Be 0.000 0.500 0.500
Be2 Be 0.500 0.000 0.500
Fe1 Fe 0.500 0.500 0.000
Cl1 Cl 0.500 0.500 0.500

# YBe2FeCl GGA-PBE relaxed
# Mass density in Mg/m³: 2.30
# Total DFT energy (no corrections) in eV per atom: -3.500
# Excess energy over the best structure of this formula in the dataset in meV/atom: 514
# Crystal system: tetragonal
# Space group: P4/mmm (123)
# Uncorrected formation energy in eV/atom: 1.345
data_YBe2FeCl
_cell_length_a 5.329
_cell_length_b 5.329
_cell_length_c 5.039
_cell_angle_alpha 90.00
_cell_angle_beta 90.00
_cell_angle_gamma 90.00
_symmetry_space_group_name_H-M 'P 1'
_symmetry_Int_Tables_number 1
_symmetry_space_group_name_Hall 'P 1'
loop_
_atom_site_label
_atom_site_type_symbol
_atom_site_fract_x
_atom_site_fract_y
_atom_site_fract_z
Y1 Y 0.000 0.000 0.000
Be1 Be 0.000 0.500 0.000
Be2 Be 0.500 0.000 0.000
Fe1 Fe 0.500 0.500 0.500
Cl1 Cl 0.000 0.000 0.500

# Be2ZnFeCl GGA-PBE relaxed
# Mass density in Mg/m³: 4.35
# Total DFT energy (no corrections) in eV per atom: -2.736
# Crystal system: tetragonal
# Space group: P4/mmm (123)
# Uncorrected formation energy in eV/atom: 1.071
data_Be2ZnFeCl
_cell_length_a 4.007
_cell_length_b 4.007
_cell_length_c 4.151
_cell_angle_alpha 90.00
_cell_angle_beta 90.00
_cell_angle_gamma 90.00
_symmetry_space_group_name_H-M 'P 1'
_symmetry_Int_Tables_number 1
_symmetry_space_group_name_Hall 'P 1'
loop_
_atom_site_label
_atom_site_type_symbol
_atom_site_fract_x
_atom_site_fract_y
_atom_site_fract_z
Be1 Be 0.000 0.500 0.000
Be2 Be 0.500 0.000 0.000
Zn1 Zn 0.000 0.000 0.500
Fe1 Fe 0.500 0.500 0.500
Cl1 Cl 0.500 0.500 0.000

# BeGa3Cl GGA-PBE relaxed
# Mass density in Mg/m³: 2.88
# Total DFT energy (no corrections) in eV per atom: -2.151
# Excess energy over the best structure of this formula in the dataset in meV/atom: 783
# Crystal system: cubic
# Space group: Pm-3m (221)
# Uncorrected formation energy in eV/atom: 0.779
data_BeGa3Cl
_cell_length_a 5.271
_cell_length_b 5.271
_cell_length_c 5.271
_cell_angle_alpha 90.00
_cell_angle_beta 90.00
_cell_angle_gamma 90.00
_symmetry_space_group_name_H-M 'P 1'
_symmetry_Int_Tables_number 1
_symmetry_space_group_name_Hall 'P 1'
loop_
_atom_site_label
_atom_site_type_symbol
_atom_site_fract_x
_atom_site_fract_y
_atom_site_fract_z
Be1 Be 0.000 0.000 0.000
Ga1 Ga 0.000 0.500 0.500
Ga2 Ga 0.500 0.000 0.500
Ga3 Ga 0.500 0.500 0.000
Cl1 Cl 0.500 0.500 0.500

# BeGa2Cl8 GGA-PBE relaxed
# Mass density in Mg/m³: 2.10
# Total DFT energy (no corrections) in eV per atom: -3.335
# Crystal system: monoclinic
# Space group: C2/m (12)
# Uncorrected formation energy in eV/atom: -1.103
data_BeGa2Cl8
_cell_length_a 7.553
_cell_length_b 7.553
_cell_length_c 6.052
_cell_angle_alpha 90.27
_cell_angle_beta 90.27
_cell_angle_gamma 82.23
_symmetry_space_group_name_H-M 'P 1'
_symmetry_Int_Tables_number 1
_symmetry_space_group_name_Hall 'P 1'
loop_
_atom_site_label
_atom_site_type_symbol
_atom_site_fract_x
_atom_site_fract_y
_atom_site_fract_z
Be1 Be 0.000 0.000 0.000
Ga1 Ga 0.206 0.206 0.351
Ga2 Ga 0.794 0.794 0.649
Cl1 Cl 0.066 0.751 0.814
Cl2 Cl 0.191 0.191 0.709
Cl3 Cl 0.249 0.934 0.186
Cl4 Cl 0.384 0.384 0.244
Cl5 Cl 0.616 0.616 0.756
Cl6 Cl 0.751 0.066 0.814
Cl7 Cl 0.809 0.809 0.291
Cl8 Cl 0.934 0.249 0.186

# BeGa3Cl GGA-PBE relaxed
# Mass density in Mg/m³: 4.22
# Total DFT energy (no corrections) in eV per atom: -2.934
# Excess energy over the best structure of this formula in the dataset in meV/atom: 0
# Crystal system: cubic
# Space group: Pm-3m (221)
# Uncorrected formation energy in eV/atom: -0.003
data_BeGa3Cl
_cell_length_a 4.639
_cell_length_b 4.639
_cell_length_c 4.639
_cell_angle_alpha 90.00
_cell_angle_beta 90.00
_cell_angle_gamma 90.00
_symmetry_space_group_name_H-M 'P 1'
_symmetry_Int_Tables_number 1
_symmetry_space_group_name_Hall 'P 1'
loop_
_atom_site_label
_atom_site_type_symbol
_atom_site_fract_x
_atom_site_fract_y
_atom_site_fract_z
Be1 Be 0.000 0.000 0.000
Ga1 Ga 0.000 0.000 0.500
Ga2 Ga 0.000 0.500 0.000
Ga3 Ga 0.500 0.000 0.000
Cl1 Cl 0.500 0.500 0.500

# Be4Ga2Cl GGA-PBE relaxed
# Mass density in Mg/m³: 3.20
# Total DFT energy (no corrections) in eV per atom: -2.402
# Crystal system: tetragonal
# Space group: I4/mmm (139)
# Uncorrected formation energy in eV/atom: 0.856
data_Be4Ga2Cl
_cell_length_a 4.435
_cell_length_b 4.435
_cell_length_c 11.145
_cell_angle_alpha 90.00
_cell_angle_beta 90.00
_cell_angle_gamma 90.00
_symmetry_space_group_name_H-M 'P 1'
_symmetry_Int_Tables_number 1
_symmetry_space_group_name_Hall 'P 1'
loop_
_atom_site_label
_atom_site_type_symbol
_atom_site_fract_x
_atom_site_fract_y
_atom_site_fract_z
Be1 Be 0.000 0.000 0.186
Be2 Be 0.000 0.000 0.814
Be3 Be 0.000 0.500 0.000
Be4 Be 0.000 0.500 0.500
Be5 Be 0.500 0.000 0.000
Be6 Be 0.500 0.000 0.500
Be7 Be 0.500 0.500 0.314
Be8 Be 0.500 0.500 0.686
Ga1 Ga 0.000 0.000 0.386
Ga2 Ga 0.000 0.000 0.614
Ga3 Ga 0.500 0.500 0.114
Ga4 Ga 0.500 0.500 0.886
Cl1 Cl 0.000 0.000 0.000
Cl2 Cl 0.500 0.500 0.500

# Be2GaCl6 GGA-PBE relaxed
# Mass density in Mg/m³: 2.17
# Total DFT energy (no corrections) in eV per atom: -3.547
# Crystal system: monoclinic
# Space group: C2/c (15)
# Uncorrected formation energy in eV/atom: -1.152
data_Be2GaCl6
_cell_length_a 9.194
_cell_length_b 9.194
_cell_length_c 5.902
_cell_angle_alpha 105.59
_cell_angle_beta 105.59
_cell_angle_gamma 90.67
_symmetry_space_group_name_H-M 'P 1'
_symmetry_Int_Tables_number 1
_symmetry_space_group_name_Hall 'P 1'
loop_
_atom_site_label
_atom_site_type_symbol
_atom_site_fract_x
_atom_site_fract_y
_atom_site_fract_z
Be1 Be 0.148 0.297 0.316
Be2 Be 0.297 0.148 0.816
Be3 Be 0.703 0.852 0.184
Be4 Be 0.852 0.703 0.684
Ga1 Ga 0.287 0.713 0.750
Ga2 Ga 0.713 0.287 0.250
Cl1 Cl 0.063 0.688 0.897
Cl2 Cl 0.125 0.248 0.624
Cl3 Cl 0.248 0.125 0.124
Cl4 Cl 0.272 0.495 0.382
Cl5 Cl 0.312 0.937 0.603
Cl6 Cl 0.495 0.272 0.882
Cl7 Cl 0.505 0.728 0.118
Cl8 Cl 0.688 0.063 0.397
Cl9 Cl 0.728 0.505 0.618
Cl10 Cl 0.752 0.875 0.876
Cl11 Cl 0.875 0.752 0.376
Cl12 Cl 0.937 0.312 0.103